Computed, not measured: CaAu2Se after structural relaxation at the PBEsol level of DFT.

Structure (POSCAR):
```
CaAu2Se
1.0
3.941 0.000 0.000
0.000 3.941 0.000
0.000 0.000 21.730
Ca Au Se
4 8 4
Direct
0.000 0.000 0.000
0.000 0.500 0.250
0.500 0.000 0.750
0.500 0.500 0.500
0.247 0.250 0.625
0.250 0.747 0.875
0.250 0.753 0.375
0.253 0.250 0.125
0.747 0.750 0.125
0.750 0.247 0.375
0.750 0.253 0.875
0.753 0.750 0.625
0.000 0.000 0.500
0.000 0.500 0.750
0.500 0.000 0.250
0.500 0.500 0.000
```

Spin magnetization (Bohr magnetons per cell): 0.00
D(E_F) (states/eV per atom): 0.3113
Space group: I-42d, No. 122
Formation energy without anion corrections (meV per atom): -667